CrNiAs4 after structural relaxation. Source: the Alexandria database, functional GGA-PBE.

Values from the calculation:
Calculated volume = 112.6 Å³ per cell
E above lowest polymorph = 0.779 eV/atom
Energy of formation = 0.701 eV/atom
Total magnetization = 3.59 μB/f.u.

Cell lengths 5.419, 5.419, 5.419 Å; angles 60.00, 60.00, 60.00 degrees
Element x y z (fractional)
1 As 0.877 0.374 0.374
2 As 0.374 0.877 0.374
3 Cr 0.750 0.750 0.750
4 As 0.374 0.374 0.374
5 Ni 0.000 0.000 0.000
6 As 0.374 0.374 0.877